Entry 1:
Material: Nd2Cu3Ge4Ir
Method: DFT, GGA-PBE
State: optimized geometry

POSCAR file:
```
Nd2Cu3Ge4Ir
1.0
4.1866 0.0000 0.0000
0.0000 4.1866 0.0000
0.0000 0.0000 10.3010
Nd Cu Ge Ir
2 3 4 1
Direct
0.5000 0.0000 0.2504 Nd
0.0000 0.5000 0.7496 Nd
0.0000 0.0000 0.5000 Cu
0.5000 0.0000 0.8679 Cu
0.0000 0.5000 0.1321 Cu
0.5000 0.5000 0.0000 Ge
0.0000 0.0000 0.0000 Ge
0.5000 0.0000 0.6326 Ge
0.0000 0.5000 0.3674 Ge
0.5000 0.5000 0.5000 Ir
```

Summary:
Its crystal system is tetragonal.

---

Entry 2:
Material: CuNiGeIr
Method: DFT, GGA-PBE
State: optimized geometry

POSCAR file:
```
CuNiGeIr
1.0
4.1861 0.0000 0.0000
2.0930 3.6252 0.0000
2.0930 1.2084 3.4179
Ni Ge Ir Cu
1 1 1 1
Direct
0.5000 0.5000 0.5000 Ni
0.2500 0.2500 0.2500 Ge
0.0000 0.0000 0.0000 Ir
0.7500 0.7500 0.7500 Cu
```

Summary:
Its crystal system is cubic.

---

Entry 3:
Material: Np2CuGe3Ir4
Method: DFT, GGA-PBE
State: optimized geometry

POSCAR file:
```
Np2CuGe3Ir4
1.0
-3.1108 2.5586 0.7506
-0.2707 -1.4505 3.8223
6.8965 7.4159 3.3028
Np Cu Ge Ir
2 1 3 4
Direct
0.5000 0.0000 0.2589 Np
0.0000 0.5000 0.7411 Np
0.5000 0.5000 0.5000 Cu
0.0000 0.0000 0.5000 Ge
0.5000 0.0000 0.8703 Ge
0.0000 0.5000 0.1297 Ge
0.5000 0.5000 0.0000 Ir
0.0000 0.0000 0.0000 Ir
0.5000 0.0000 0.6429 Ir
0.0000 0.5000 0.3571 Ir
```

Summary:
Its crystal system is tetragonal.

---

Entry 4:
Material: Np2CuGe4Ir3
Method: DFT, GGA-PBE
State: optimized geometry

POSCAR file:
```
Np2CuGe4Ir3
1.0
4.2297 0.0000 0.0000
0.0000 4.2297 0.0000
0.0000 0.0000 10.1303
Np Cu Ge Ir
2 1 4 3
Direct
0.5000 0.0000 0.2468 Np
0.0000 0.5000 0.7532 Np
0.5000 0.5000 0.5000 Cu
0.5000 0.5000 0.0000 Ge
0.0000 0.0000 0.0000 Ge
0.5000 0.0000 0.6304 Ge
0.0000 0.5000 0.3696 Ge
0.0000 0.0000 0.5000 Ir
0.5000 0.0000 0.8696 Ir
0.0000 0.5000 0.1304 Ir
```

Summary:
Its crystal system is tetragonal.

---

DFT formation energy, respectively: -545.5 -116.1 -361.8 -335.4 meV per atom.
Calculated total energy, respectively: -5.46 -5.96 -8.29 -7.84 eV per atom.